# Cs2AsCl2F4 GGA-PBE optimized geometry
data_Cs2AsCl2F4
_chemical_formula_sum 'Cs4 As2 Cl4 F8'
_symmetry_space_group_name_H-M 'C 1 2/m 1'
_symmetry_Int_Tables_number 12
_cell_length_a 11.134
_cell_length_b 6.996
_cell_length_c 6.200
_cell_angle_alpha 90.00
_cell_angle_beta 93.13
_cell_angle_gamma 90.00
loop_
_symmetry_equiv_pos_as_xyz
'x,y,z'
'-x,-y,-z'
'-x,y,-z'
'x,-y,z'
'x+1/2,y+1/2,z'
'-x+1/2,-y+1/2,-z'
'-x+1/2,y+1/2,-z'
'x+1/2,-y+1/2,z'
loop_
_atom_site_label
_atom_site_type_symbol
_atom_site_fract_x
_atom_site_fract_y
_atom_site_fract_z
_atom_site_occupancy
Cs1 Cs 0.165 0.000 0.218 1
As1 As 0.000 0.500 0.000 1
Cl1 Cl 0.163 0.500 0.274 1
F1 F 0.082 0.302 0.850 1
# Formation energy (no corrections), eV per atom: -2.03

***

# La7Ho12Tm GGA-PBE optimized geometry
data_La7Ho12Tm
_chemical_formula_sum 'La14 Ho24 Tm2'
_symmetry_space_group_name_H-M 'I m -3 m'
_symmetry_Int_Tables_number 229
_symmetry_space_group_name_Hall '-I 4 2 3'
_cell_length_a 11.456
_cell_length_b 11.456
_cell_length_c 11.456
_cell_angle_alpha 90.00
_cell_angle_beta 90.00
_cell_angle_gamma 90.00
loop_
_atom_site_label
_atom_site_type_symbol
_atom_site_fract_x
_atom_site_fract_y
_atom_site_fract_z
_atom_site_occupancy
La1 La 0.000 0.000 0.500 1
La2 La 0.250 0.250 0.250 1
Ho1 Ho 0.000 0.220 0.220 1
Tm1 Tm 0.000 0.000 0.000 1
# Energy of formation, eV/atom: 0.63

***

# In2AgAu2 GGA-PBE optimized geometry
data_In2AgAu2
_chemical_formula_sum 'In4 Ag2 Au4'
_symmetry_space_group_name_H-M 'P 1 21/m 1'
_symmetry_Int_Tables_number 11
_cell_length_a 4.694
_cell_length_b 4.768
_cell_length_c 9.768
_cell_angle_alpha 90.00
_cell_angle_beta 90.06
_cell_angle_gamma 90.00
loop_
_symmetry_equiv_pos_as_xyz
'x,y,z'
'-x,-y,-z'
'-x,y+1/2,-z'
'x,-y+1/2,z'
loop_
_atom_site_label
_atom_site_type_symbol
_atom_site_fract_x
_atom_site_fract_y
_atom_site_fract_z
_atom_site_occupancy
In1 In 0.248 0.250 0.173 1
In2 In 0.250 0.250 0.510 1
Ag1 Ag 0.247 0.250 0.825 1
Au1 Au 0.251 0.750 0.660 1
Au2 Au 0.252 0.750 0.003 1
# Energy of formation, eV/atom: -0.15
# ΔE to the lowest computed polymorph, meV per atom: 0

***

# PbSeNO2 GGA-PBE optimized geometry
data_PbSeNO2
_chemical_formula_sum 'Pb1 Se1 N1 O2'
_symmetry_space_group_name_H-M 'P 4/m m m'
_symmetry_Int_Tables_number 123
_symmetry_space_group_name_Hall '-P 4 2'
_cell_length_a 4.030
_cell_length_b 4.030
_cell_length_c 4.128
_cell_angle_alpha 90.00
_cell_angle_beta 90.00
_cell_angle_gamma 90.00
loop_
_atom_site_label
_atom_site_type_symbol
_atom_site_fract_x
_atom_site_fract_y
_atom_site_fract_z
_atom_site_occupancy
Pb1 Pb 0.000 0.000 0.000 1
Se1 Se 0.500 0.500 0.500 1
N1 N 0.500 0.500 0.000 1
O1 O 0.000 0.500 0.500 1
# Formation energy (no corrections), eV per atom: 0.13

***

The evaluated total magnetic moment for the records listed, in turn: 0.10 0.00 0.00 0.09 μB per atom.
The evaluated DFT total energy for the records listed, in turn: -3.98 -4.06 -3.13 -4.95 eV/atom.